# 1
An optimized crystal structure of LaInRu2, computed with GGA-PBEsol. Values from VASP.

calculated volume: 74.4 Å³ per cell
ΔE_f: 0.409 eV per atom
space group: R3m, No. 160
DFT total energy: -6.76 eV/atom

Structure (Quantum ESPRESSO input):
```
&SYSTEM
  ibrav = 0, nat = 4, ntyp = 3
/
ATOMIC_SPECIES
Ru 101.07 Ru.upf
La 138.91 La.upf
In 114.82 In.upf
CELL_PARAMETERS angstrom
-0.5946 -2.7226 1.0024
0.5940 -0.7042 2.8146
-8.9677 1.7826 3.8968
ATOMIC_POSITIONS angstrom
Ru -6.8917 -1.1792 5.8337
La -2.0771 -0.4648 1.8802
Ru -8.6428 1.6766 3.8017
In -4.8086 -0.7163 3.9518
```

***

# 2
An optimized crystal structure of La2InRu, computed with GGA-PBEsol. Values from VASP.

calculated volume: 105.4 Å³ per cell
ΔE_f: -0.318 eV per atom
space group: Amm2, No. 38
DFT total energy: -6.28 eV/atom

Structure (Quantum ESPRESSO input):
```
&SYSTEM
  ibrav = 0, nat = 4, ntyp = 3
/
ATOMIC_SPECIES
In 114.82 In.upf
La 138.91 La.upf
Ru 101.07 Ru.upf
CELL_PARAMETERS angstrom
-2.8730 2.4799 -0.5262
-1.9187 -1.3201 4.2543
3.9671 4.6983 0.4824
ATOMIC_POSITIONS angstrom
In -1.3035 2.0464 2.8117
La 0.8610 4.3247 1.7303
Ru 1.2241 2.2715 4.0215
La 0.4415 0.5928 0.3831
```

***

# 3
An optimized crystal structure of La3InS, computed with GGA-PBEsol. Values from VASP.

calculated volume: 201.0 Å³ per cell
space group: Pm-3m, No. 221
DFT total energy: -4.41 eV/atom

Structure (Quantum ESPRESSO input):
```
&SYSTEM
  ibrav = 0, nat = 5, ntyp = 3
/
ATOMIC_SPECIES
La 138.91 La.upf
S 32.06 S.upf
In 114.82 In.upf
CELL_PARAMETERS angstrom
-5.6010 -1.6217 0.5572
0.5680 0.0414 5.8299
-1.6180 5.6285 0.1177
ATOMIC_POSITIONS angstrom
La -0.8090 2.8143 0.0588
La -2.8005 -0.8109 0.2786
S -3.3255 2.0241 3.2524
In 0.0000 0.0000 0.0000
La 0.2840 0.0207 2.9149
```

***

Per-record total magnetization, μB/f.u.: 0.0; 0.0; 0.0
Per-record calculated density, Mg/m³: 10.179; 7.779; 4.656